The following is a PBE+U calculation of crystalline Mo13O33 at its relaxed geometry, from Alexandria.

Cell and atoms, written as CIF:
```
data_Mo13O33
_symmetry_space_group_name_H-M 'P 1'
_symmetry_Int_Tables_number 1
_symmetry_space_group_name_Hall 'P 1'
_cell_length_a 3.9196
_cell_length_b 11.3650
_cell_length_c 15.0243
_cell_angle_alpha 93.44
_cell_angle_beta 97.46
_cell_angle_gamma 99.92
loop_
_atom_site_label
_atom_site_type_symbol
_atom_site_fract_x
_atom_site_fract_y
_atom_site_fract_z
Mo1 Mo 0.0000 0.0000 0.0000
Mo2 Mo 0.0012 0.1155 0.7639
Mo3 Mo 0.1214 0.5372 0.6135
Mo4 Mo 0.1322 0.9208 0.2472
Mo5 Mo 0.1980 0.4447 0.8551
Mo6 Mo 0.2706 0.3479 0.0960
Mo7 Mo 0.3390 0.2525 0.3405
Mo8 Mo 0.7007 0.8742 0.4233
Mo9 Mo 0.7634 0.7763 0.6673
Mo10 Mo 0.7714 0.5638 0.3820
Mo11 Mo 0.8327 0.6685 0.9061
Mo12 Mo 0.9018 0.2035 0.5162
Mo13 Mo 0.9194 0.5878 0.1504
O1 O 0.0116 0.3876 0.5596
O2 O 0.0157 0.7394 0.1986
O3 O 0.0244 0.0621 0.8903
O4 O 0.0882 0.5978 0.4816
O5 O 0.0961 0.9656 0.1285
O6 O 0.0979 0.2794 0.8087
O7 O 0.1617 0.4938 0.7340
O8 O 0.1687 0.1939 0.0601
O9 O 0.1748 0.8747 0.3885
O10 O 0.2338 0.7275 0.6527
O11 O 0.2375 0.4036 0.9748
O12 O 0.2410 0.0957 0.2969
O13 O 0.3110 0.6310 0.8985
O14 O 0.3190 0.3114 0.2309
O15 O 0.3907 0.5383 0.1460
O16 O 0.3956 0.2213 0.4812
O17 O 0.4593 0.4350 0.3984
O18 O 0.4868 0.1037 0.7572
O19 O 0.5572 0.0150 0.0117
O20 O 0.5742 0.6935 0.3663
O21 O 0.6417 0.9072 0.2825
O22 O 0.6483 0.5879 0.6188
O23 O 0.7096 0.8174 0.5336
O24 O 0.7223 0.4870 0.8620
O25 O 0.7880 0.0416 0.4620
O26 O 0.8008 0.7214 0.7901
O27 O 0.8023 0.3974 0.1108
O28 O 0.8616 0.2584 0.3759
O29 O 0.8709 0.9304 0.7064
O30 O 0.8756 0.6275 0.0269
O31 O 0.9343 0.8438 0.9576
O32 O 0.9576 0.5306 0.2824
O33 O 0.9594 0.1695 0.6304
```

ρ in Mg/m³: 4.5
Total moment in μB per cell: 12.0
Calculated total energy in eV/cell: -327.97